Here is a relaxed structure of SmDy6Sc2 from Alexandria. Energies are from GGA-PBE.

Cell: 7.213 7.213 7.542 Å, 61.43 61.43 60.00°
Element x y z (fractional)
Dy  0.264  0.779  0.693
Sc  0.581  0.581  0.257
Dy  0.264  0.264  0.693
Sm  0.316  0.316  0.051
Dy  0.046  0.614  0.294
Sc  0.756  0.756  0.733
Dy  0.046  0.046  0.294
Dy  0.614  0.046  0.294
Dy  0.779  0.264  0.693

Properties
Density, g/cm³: 7.12
Excess energy over the best structure of this formula in the dataset, eV/atom: 0.221
E, eV per cell: -41.2
Energy relative to the elements, eV per atom: 0.418

Here is a relaxed structure of Sm6Dy2Sc3 from Alexandria. Energies are from GGA-PBE.

Cell: 5.959 8.610 14.684 Å, 41.78 82.89 113.02°
Element x y z (fractional)
Sc  0.259  0.087  0.735
Sm  0.010  0.576  0.357
Sc  0.000  0.000  0.000
Dy  0.501  0.722  0.818
Dy  0.499  0.278  0.182
Sm  0.677  0.778  0.550
Sm  0.323  0.222  0.450
Sm  0.242  0.639  0.094
Sc  0.741  0.913  0.265
Sm  0.990  0.424  0.643
Sm  0.758  0.361  0.906

Properties
Density, g/cm³: 6.65
E, eV per cell: -55.6
Energy relative to the elements, eV per atom: 0.087

Here is a relaxed structure of Sm6Dy3Sc2 from Alexandria. Energies are from GGA-PBE.

Cell: 6.154 6.156 11.264 Å, 84.75 79.46 60.01°
Element x y z (fractional)
Dy  0.666  0.668  0.000
Sm  0.421  0.667  0.737
Dy  0.000  0.000  0.000
Dy  0.334  0.332  0.000
Sc  0.167  0.667  0.500
Sm  0.088  0.333  0.737
Sc  0.833  0.333  0.500
Sm  0.247  0.000  0.263
Sm  0.753  0.000  0.737
Sm  0.579  0.333  0.263
Sm  0.912  0.667  0.263

Properties
Density, g/cm³: 6.76
Excess energy over the best structure of this formula in the dataset, eV/atom: 0.000
E, eV per cell: -52.6
Energy relative to the elements, eV per atom: 0.198

Here is a relaxed structure of Sm2Dy12Sc from Alexandria. Energies are from GGA-PBE.

Cell: 6.625 6.625 24.648 Å, 85.28 94.72 63.30°
Element x y z (fractional)
Dy  0.664  0.354  0.556
Dy  0.151  0.899  0.066
Dy  0.465  0.531  0.671
Sm  0.991  0.509  0.713
Dy  0.836  0.146  0.444
Dy  0.726  0.774  0.112
Dy  0.260  0.240  0.849
Dy  0.061  0.878  0.804
Dy  0.035  0.969  0.329
Dy  0.601  0.349  0.066
Dy  0.354  0.664  0.444
Sc  0.021  0.479  0.017
Dy  0.531  0.465  0.329
Dy  0.240  0.260  0.151
Sc  0.479  0.021  0.983
Dy  0.899  0.151  0.934
Dy  0.878  0.061  0.196
Dy  0.176  0.324  0.580
Sm  0.992  0.508  0.270
Dy  0.651  0.849  0.567
Dy  0.439  0.622  0.196
Dy  0.349  0.601  0.934
Dy  0.146  0.836  0.556
Dy  0.969  0.035  0.671
Dy  0.849  0.651  0.433
Dy  0.774  0.726  0.888
Dy  0.622  0.439  0.804
Dy  0.324  0.176  0.420
Sm  0.508  0.992  0.730
Sm  0.509  0.991  0.287

Properties
Density, g/cm³: 7.99
E, eV per cell: -138.3
Energy relative to the elements, eV per atom: 0.124

Here is a relaxed structure of Sm7Dy4Sc from Alexandria. Energies are from GGA-PBE.

Cell: 7.199 6.238 11.427 Å, 79.52 50.98 90.03°
Element x y z (fractional)
Sm  0.250  0.499  0.000
Sm  0.668  0.219  0.332
Dy  0.579  0.276  0.670
Sm  0.332  0.781  0.668
Dy  0.421  0.724  0.330
Dy  0.165  0.223  0.335
Sm  0.750  0.501  0.000
Sm  0.083  0.277  0.669
Sm  0.500  0.000  0.000
Sm  0.917  0.723  0.331
Dy  0.835  0.777  0.665
Sc  0.000  0.000  0.000

Properties
Density, g/cm³: 7.49
Excess energy over the best structure of this formula in the dataset, eV/atom: 0.000
E, eV per cell: -57.6
Energy relative to the elements, eV per atom: 0.017

Here is a relaxed structure of Sm5Dy4Sc from Alexandria. Energies are from GGA-PBE.

Cell: 3.558 10.064 9.406 Å, 105.39 100.90 89.96°
Element x y z (fractional)
Sc  0.500  0.000  0.000
Dy  0.901  0.708  0.802
Dy  0.301  0.901  0.602
Sm  0.300  0.400  0.600
Sm  0.098  0.807  0.195
Dy  0.099  0.292  0.198
Sm  0.500  0.500  0.000
Dy  0.699  0.099  0.398
Sm  0.902  0.193  0.805
Sm  0.700  0.600  0.400

Properties
Density, g/cm³: 7.54
Excess energy over the best structure of this formula in the dataset, eV/atom: 0.000
E, eV per cell: -48.0
Energy relative to the elements, eV per atom: 0.029

Here is a relaxed structure of Sm8Dy3Sc from Alexandria. Energies are from GGA-PBE.

Cell: 8.400 8.400 8.400 Å, 93.60 117.94 117.94°
Element x y z (fractional)
Sm  0.000  0.632  0.885
Sm  0.000  0.259  0.784
Sm  0.475  0.216  0.216
Sm  0.525  0.741  0.741
Sm  0.000  0.784  0.259
Sc  0.000  0.000  0.000
Sm  0.000  0.885  0.632
Dy  0.500  0.750  0.250
Sm  0.746  0.115  0.115
Dy  0.500  0.250  0.750
Sm  0.254  0.368  0.368
Dy  0.000  0.500  0.500

Properties
Density, g/cm³: 6.68
E, eV per cell: -50.9
Energy relative to the elements, eV per atom: 0.578

Here is a relaxed structure of Sm4DySc7 from Alexandria. Energies are from GGA-PBE.

Cell: 5.579 11.259 6.374 Å, 86.10 64.05 75.66°
Element x y z (fractional)
Dy  0.000  0.000  0.000
Sm  0.359  0.775  0.506
Sc  0.356  0.514  0.774
Sc  0.209  0.083  0.498
Sc  0.791  0.917  0.502
Sm  0.703  0.703  0.890
Sc  0.964  0.377  0.694
Sm  0.641  0.225  0.494
Sc  0.036  0.623  0.306
Sc  0.644  0.486  0.226
Sc  0.500  0.000  0.000
Sm  0.297  0.297  0.110

Properties
Density, g/cm³: 5.14
E, eV per cell: -64.5
Energy relative to the elements, eV per atom: 0.272